Record 1
# PBEsol AuSe, relaxed
data_AuSe
_chemical_formula_sum 'Au1 Se1'
_space_group_name_H-M_alt 'P 4/m m m'
_space_group_IT_number 123
_space_group_name_Hall '-P 4 2'
_cell_length_a 3.754
_cell_length_b 3.754
_cell_length_c 2.808
_cell_angle_alpha 90.00
_cell_angle_beta 90.00
_cell_angle_gamma 90.00
loop_
_atom_site_label
_atom_site_type_symbol
_atom_site_fract_x
_atom_site_fract_y
_atom_site_fract_z
Au1 Au 0.000 0.000 0.000
Se1 Se 0.500 0.500 0.000
# * crystal system: tetragonal
# * E_tot: -0.14028 hartree per atom
# * total magnetic moment: 0.0 μB/cell
# * formation energy from raw total energies: 0.070 eV per atom

***

Record 2
# PBEsol AuSe, relaxed
data_AuSe
_chemical_formula_sum 'Au1 Se1'
_space_group_name_H-M_alt 'P 4/m m m'
_space_group_IT_number 123
_space_group_name_Hall '-P 4 2'
_cell_length_a 2.756
_cell_length_b 2.756
_cell_length_c 4.940
_cell_angle_alpha 90.00
_cell_angle_beta 90.00
_cell_angle_gamma 90.00
loop_
_atom_site_label
_atom_site_type_symbol
_atom_site_fract_x
_atom_site_fract_y
_atom_site_fract_z
Au1 Au 0.000 0.000 0.000
Se1 Se 0.500 0.500 0.500
# * crystal system: tetragonal
# * E_tot: -0.12992 hartree per atom
# * total magnetic moment: 0.0 μB/cell
# * formation energy from raw total energies: 0.352 eV per atom